[1]
# Sb2As (PBE-GGA, optimized geometry)
# uncorrected formation energy = 5.90 kcal/mol of atoms
# ΔE to the lowest computed polymorph = 189.4 meV/atom
# DOS at the Fermi energy = 1.3 states/eV/f.u.
data_Sb2As
_cell_length_a 4.5990
_cell_length_b 4.5990
_cell_length_c 3.9792
_cell_angle_alpha 90.00
_cell_angle_beta 90.00
_cell_angle_gamma 90.00
_symmetry_space_group_name_H-M 'P 4/m m m'
_symmetry_Int_Tables_number 123
_symmetry_space_group_name_Hall '-P 4 2'
loop_
_atom_site_label
_atom_site_type_symbol
_atom_site_fract_x
_atom_site_fract_y
_atom_site_fract_z
_atom_site_occupancy
Sb1 Sb 0.0000 0.5000 0.0000 1
As1 As 0.0000 0.0000 0.5000 1



[2]
# HfPtSBr2 (PBE-GGA, optimized geometry)
# uncorrected formation energy = 11.28 kcal/mol of atoms
# DOS at the Fermi energy = 4.7 states/eV/f.u.
data_HfPtSBr2
_cell_length_a 5.0515
_cell_length_b 5.0515
_cell_length_c 4.7375
_cell_angle_alpha 90.00
_cell_angle_beta 90.00
_cell_angle_gamma 90.00
_symmetry_space_group_name_H-M 'P 4/m m m'
_symmetry_Int_Tables_number 123
_symmetry_space_group_name_Hall '-P 4 2'
loop_
_atom_site_label
_atom_site_type_symbol
_atom_site_fract_x
_atom_site_fract_y
_atom_site_fract_z
_atom_site_occupancy
Hf1 Hf 0.0000 0.0000 0.0000 1
Pt1 Pt 0.5000 0.5000 0.5000 1
S1 S 0.5000 0.5000 0.0000 1
Br1 Br 0.0000 0.5000 0.5000 1



[3]
# CdPIrW2 (PBE-GGA, optimized geometry)
# energy of formation from the pure elements = 703 meV per atom
# DOS at the Fermi energy = 4.9 states/eV/f.u.
data_CdPIrW2
_cell_length_a 4.4835
_cell_length_b 4.4835
_cell_length_c 4.4447
_cell_angle_alpha 90.00
_cell_angle_beta 90.00
_cell_angle_gamma 90.00
_symmetry_space_group_name_H-M 'P 4/m m m'
_symmetry_Int_Tables_number 123
_symmetry_space_group_name_Hall '-P 4 2'
loop_
_atom_site_label
_atom_site_type_symbol
_atom_site_fract_x
_atom_site_fract_y
_atom_site_fract_z
_atom_site_occupancy
Cd1 Cd 0.0000 0.0000 0.0000 1
P1 P 0.5000 0.5000 0.5000 1
Ir1 Ir 0.5000 0.5000 0.0000 1
W1 W 0.0000 0.5000 0.5000 1



[4]
# Pr2Ho2AlGa4 (PBE-GGA, optimized geometry)
# energy of formation from the pure elements = -211 meV per atom
# DOS at the Fermi energy = 5.5 states/eV/f.u.
data_Pr2Ho2AlGa4
_cell_length_a 7.0727
_cell_length_b 7.0727
_cell_length_c 9.0471
_cell_angle_alpha 90.00
_cell_angle_beta 90.00
_cell_angle_gamma 90.00
_symmetry_space_group_name_H-M 'I 4/m m m'
_symmetry_Int_Tables_number 139
_symmetry_space_group_name_Hall '-I 4 2'
loop_
_atom_site_label
_atom_site_type_symbol
_atom_site_fract_x
_atom_site_fract_y
_atom_site_fract_z
_atom_site_occupancy
Pr1 Pr 0.0000 0.0000 0.1902 1
Ho1 Ho 0.0000 0.5000 0.2500 1
Al1 Al 0.0000 0.0000 0.5000 1
Ga1 Ga 0.2459 0.2459 0.5000 1



[5]
# Ba2EuSb (PBE-GGA, optimized geometry)
# uncorrected formation energy = -11.51 kcal/mol of atoms
# ΔE to the lowest computed polymorph = 0.0 meV/atom
# DOS at the Fermi energy = 2.2 states/eV/f.u.
data_Ba2EuSb
_cell_length_a 4.6229
_cell_length_b 4.6229
_cell_length_c 8.0928
_cell_angle_alpha 90.00
_cell_angle_beta 90.00
_cell_angle_gamma 90.00
_symmetry_space_group_name_H-M 'P 4/m m m'
_symmetry_Int_Tables_number 123
_symmetry_space_group_name_Hall '-P 4 2'
loop_
_atom_site_label
_atom_site_type_symbol
_atom_site_fract_x
_atom_site_fract_y
_atom_site_fract_z
_atom_site_occupancy
Ba1 Ba 0.0000 0.0000 0.2103 1
Eu1 Eu 0.5000 0.5000 0.5000 1
Sb1 Sb 0.5000 0.5000 0.0000 1



[6]
# Tb4TePd (PBE-GGA, optimized geometry)
# uncorrected formation energy = -15.32 kcal/mol of atoms
# ΔE to the lowest computed polymorph = 82.3 meV/atom
# DOS at the Fermi energy = 7.5 states/eV/f.u.
data_Tb4TePd
_cell_length_a 6.4553
_cell_length_b 6.7448
_cell_length_c 7.9751
_cell_angle_alpha 90.00
_cell_angle_beta 93.16
_cell_angle_gamma 90.00
_symmetry_space_group_name_H-M 'P 1 21/m 1'
_symmetry_Int_Tables_number 11
_symmetry_space_group_name_Hall '-P 2yb'
loop_
_atom_site_label
_atom_site_type_symbol
_atom_site_fract_x
_atom_site_fract_y
_atom_site_fract_z
_atom_site_occupancy
Tb1 Tb 0.0948 0.2500 0.0937 1
Tb2 Tb 0.1123 0.7500 0.3839 1
Tb3 Tb 0.3858 0.5011 0.7871 1
Te1 Te 0.3286 0.2500 0.4503 1
Pd1 Pd 0.2977 0.7500 0.0671 1



The mass density results, record by record, are as follows: 6.3, 7.8, 13.1, 6.7, 5.3, 8.3 Mg/m³.